[1]
! Rb2HfTi (PBE, optimized geometry); values from VASP
&SYSTEM
  ibrav = 0, nat = 16, ntyp = 3
/
ATOMIC_SPECIES
Rb 85.47 Rb.upf
Hf 178.49 Hf.upf
Ti 47.87 Ti.upf
CELL_PARAMETERS angstrom
8.440 0.000 0.000
0.000 8.440 0.000
0.000 0.000 8.440
ATOMIC_POSITIONS crystal
Rb 0.250 0.250 0.250
Rb 0.250 0.250 0.750
Rb 0.250 0.750 0.250
Rb 0.250 0.750 0.750
Rb 0.750 0.250 0.250
Rb 0.750 0.250 0.750
Rb 0.750 0.750 0.250
Rb 0.750 0.750 0.750
Hf 0.000 0.000 0.000
Hf 0.000 0.500 0.500
Hf 0.500 0.000 0.500
Hf 0.500 0.500 0.000
Ti 0.000 0.000 0.500
Ti 0.000 0.500 0.000
Ti 0.500 0.000 0.000
Ti 0.500 0.500 0.500
! **Space-group type**: Fm-3m
! **Total magnetization**: 1.03 Bohr magnetons per cell
! **Energy relative to the elements**: 7.4 eV per formula unit
! **Energy relative to the lowest polymorph listed for this composition**: 0.368 eV/atom
! **DOS at the Fermi energy**: 7.953 states/eV/atom

=====

[2]
! NaCuSbS3 (PBE, optimized geometry); values from VASP
&SYSTEM
  ibrav = 0, nat = 12, ntyp = 4
/
ATOMIC_SPECIES
Na 22.99 Na.upf
Cu 63.55 Cu.upf
Sb 121.76 Sb.upf
S 32.06 S.upf
CELL_PARAMETERS angstrom
8.512 0.000 0.000
0.000 3.872 0.000
-0.983 0.000 8.625
ATOMIC_POSITIONS crystal
Na 0.155 0.250 0.205
Na 0.845 0.750 0.795
Cu 0.088 0.250 0.583
Cu 0.912 0.750 0.417
Sb 0.354 0.750 0.847
Sb 0.646 0.250 0.153
S 0.137 0.250 0.856
S 0.181 0.750 0.488
S 0.397 0.750 0.135
S 0.603 0.250 0.865
S 0.819 0.250 0.512
S 0.863 0.750 0.144
! **E**: -49.18 eV for the cell shown
! **Space-group type**: P2_1/m
! **Total magnetization**: 0.00 Bohr magnetons per cell
! **DOS at the Fermi energy**: 0.660 states/eV/atom